# 1
# Ta5Os4 | the Alexandria database | PBE-GGA | optimized geometry
data_Ta5Os4
_chemical_formula_sum 'Ta10 Os8'
_cell_length_a 8.1274
_cell_length_b 8.1274
_cell_length_c 5.3298
_cell_angle_alpha 90.00
_cell_angle_beta 90.00
_cell_angle_gamma 120.00
_symmetry_space_group_name_H-M 'P 63/m c m'
_symmetry_Int_Tables_number 193
_symmetry_space_group_name_Hall '-P 6c 2'
loop_
_atom_site_label
_atom_site_type_symbol
_atom_site_fract_x
_atom_site_fract_y
_atom_site_fract_z
_atom_site_occupancy
Ta1 Ta 0.0000 0.2875 0.2500 1
Ta2 Ta 0.3333 0.6667 0.0000 1
Os1 Os 0.0000 0.0000 0.0000 1
Os2 Os 0.0000 0.3980 0.7500 1
# distance to the lowest polymorph of the same formula = 0.0000 eV/atom
# ρ = 18.1 g/cm3
# E_form = -0.0917 eV/atom
# size of the total moment = 0.00 μB per formula unit

# 2
# TaOs2 | the Alexandria database | PBE-GGA | optimized geometry
data_TaOs2
_chemical_formula_sum 'Ta2 Os4'
_cell_length_a 3.155
_cell_length_b 3.155
_cell_length_c 9.615
_cell_angle_alpha 90.00
_cell_angle_beta 90.00
_cell_angle_gamma 90.00
_symmetry_space_group_name_H-M 'I 4/m m m'
_symmetry_Int_Tables_number 139
_symmetry_space_group_name_Hall '-I 4 2'
loop_
_atom_site_label
_atom_site_type_symbol
_atom_site_fract_x
_atom_site_fract_y
_atom_site_fract_z
_atom_site_occupancy
Ta1 Ta 0.000 0.000 0.000 1
Os1 Os 0.000 0.000 0.345 1
# ρ = 19.5 g/cm3
# E_form = 0.1447 eV/atom
# size of the total moment = 0.00 μB per formula unit

# 3
# Ta2Os | the Alexandria database | PBE-GGA | optimized geometry
data_Ta2Os
_chemical_formula_sum 'Ta4 Os2'
_cell_length_a 3.208
_cell_length_b 3.208
_cell_length_c 9.820
_cell_angle_alpha 90.00
_cell_angle_beta 90.00
_cell_angle_gamma 90.00
_symmetry_space_group_name_H-M 'I 4/m m m'
_symmetry_Int_Tables_number 139
_symmetry_space_group_name_Hall '-I 4 2'
loop_
_atom_site_label
_atom_site_type_symbol
_atom_site_fract_x
_atom_site_fract_y
_atom_site_fract_z
_atom_site_occupancy
Ta1 Ta 0.000 0.000 0.163 1
Os1 Os 0.000 0.000 0.500 1
# ρ = 18.2 g/cm3
# E_form = -0.2844 eV/atom
# size of the total moment = 0.00 μB per formula unit

# 4
# Ta5Os4 | the Alexandria database | PBE-GGA | optimized geometry
data_Ta5Os4
_chemical_formula_sum 'Ta10 Os8'
_cell_length_a 8.537
_cell_length_b 8.537
_cell_length_c 4.080
_cell_angle_alpha 90.00
_cell_angle_beta 90.00
_cell_angle_gamma 90.00
_symmetry_space_group_name_H-M 'I 4/m m m'
_symmetry_Int_Tables_number 139
_symmetry_space_group_name_Hall '-I 4 2'
loop_
_atom_site_label
_atom_site_type_symbol
_atom_site_fract_x
_atom_site_fract_y
_atom_site_fract_z
_atom_site_occupancy
Ta1 Ta 0.000 0.000 0.000 1
Ta2 Ta 0.173 0.173 0.500 1
Os1 Os 0.000 0.346 0.000 1
# distance to the lowest polymorph of the same formula = 0.0300 eV/atom
# ρ = 18.6 g/cm3
# E_form = -0.0617 eV/atom
# size of the total moment = 0.00 μB per formula unit

# 5
# TaOs2 | the Alexandria database | PBE-GGA | optimized geometry
data_TaOs2
_chemical_formula_sum 'Ta4 Os8'
_cell_length_a 2.866
_cell_length_b 4.154
_cell_length_c 17.141
_cell_angle_alpha 90.00
_cell_angle_beta 90.00
_cell_angle_gamma 90.00
_symmetry_space_group_name_H-M 'I m m a'
_symmetry_Int_Tables_number 74
_symmetry_space_group_name_Hall '-I 2b 2'
loop_
_atom_site_label
_atom_site_type_symbol
_atom_site_fract_x
_atom_site_fract_y
_atom_site_fract_z
_atom_site_occupancy
Ta1 Ta 0.000 0.250 0.123 1
Os1 Os 0.000 0.250 0.537 1
Os2 Os 0.000 0.250 0.688 1
# ρ = 18.3 g/cm3
# E_form = 0.2213 eV/atom
# size of the total moment = 0.00 μB per formula unit

# 6
# TaOs7 | the Alexandria database | PBE-GGA | optimized geometry
data_TaOs7
_chemical_formula_sum 'Ta4 Os28'
_cell_length_a 7.783
_cell_length_b 7.783
_cell_length_c 7.783
_cell_angle_alpha 90.00
_cell_angle_beta 90.00
_cell_angle_gamma 90.00
_symmetry_space_group_name_H-M 'F m -3 m'
_symmetry_Int_Tables_number 225
_symmetry_space_group_name_Hall '-F 4 2 3'
loop_
_atom_site_label
_atom_site_type_symbol
_atom_site_fract_x
_atom_site_fract_y
_atom_site_fract_z
_atom_site_occupancy
Ta1 Ta 0.000 0.000 0.000 1
Os1 Os 0.000 0.000 0.500 1
Os2 Os 0.000 0.250 0.250 1
# ρ = 21.3 g/cm3
# E_form = 0.0147 eV/atom
# size of the total moment = 0.00 μB per formula unit

# 7
# TaOs2 | the Alexandria database | PBE-GGA | optimized geometry
data_TaOs2
_chemical_formula_sum 'Ta2 Os4'
_cell_length_a 2.812
_cell_length_b 3.893
_cell_length_c 8.558
_cell_angle_alpha 90.00
_cell_angle_beta 90.00
_cell_angle_gamma 90.00
_symmetry_space_group_name_H-M 'I m m m'
_symmetry_Int_Tables_number 71
_symmetry_space_group_name_Hall '-I 2 2'
loop_
_atom_site_label
_atom_site_type_symbol
_atom_site_fract_x
_atom_site_fract_y
_atom_site_fract_z
_atom_site_occupancy
Ta1 Ta 0.000 0.000 0.000 1
Os1 Os 0.000 0.000 0.325 1
# ρ = 19.9 g/cm3
# E_form = -0.0133 eV/atom
# size of the total moment = 0.00 μB per formula unit

# 8
# Ta2Os3 | the Alexandria database | PBE-GGA | optimized geometry
data_Ta2Os3
_chemical_formula_sum 'Ta2 Os3'
_cell_length_a 4.3527
_cell_length_b 4.3527
_cell_length_c 5.3766
_cell_angle_alpha 90.00
_cell_angle_beta 90.00
_cell_angle_gamma 120.00
_symmetry_space_group_name_H-M 'P -3 m 1'
_symmetry_Int_Tables_number 164
_symmetry_space_group_name_Hall '-P 3 2"'
loop_
_atom_site_label
_atom_site_type_symbol
_atom_site_fract_x
_atom_site_fract_y
_atom_site_fract_z
_atom_site_occupancy
Ta1 Ta 0.3333 0.6667 0.3164 1
Os1 Os 0.0000 0.0000 0.5000 1
Os2 Os 0.3333 0.6667 0.8330 1
# distance to the lowest polymorph of the same formula = 0.2985 eV/atom
# ρ = 17.6 g/cm3
# E_form = 0.1451 eV/atom
# size of the total moment = 0.00 μB per formula unit

# 9
# Ta2Os | the Alexandria database | PBE-GGA | optimized geometry
data_Ta2Os
_chemical_formula_sum 'Ta8 Os4'
_cell_length_a 10.205
_cell_length_b 3.235
_cell_length_c 6.510
_cell_angle_alpha 90.00
_cell_angle_beta 109.77
_cell_angle_gamma 90.00
_symmetry_space_group_name_H-M 'C 1 2/m 1'
_symmetry_Int_Tables_number 12
loop_
_symmetry_equiv_pos_as_xyz
'x,y,z'
'-x,-y,-z'
'-x,y,-z'
'x,-y,z'
'x+1/2,y+1/2,z'
'-x+1/2,-y+1/2,-z'
'-x+1/2,y+1/2,-z'
'x+1/2,-y+1/2,z'
loop_
_atom_site_label
_atom_site_type_symbol
_atom_site_fract_x
_atom_site_fract_y
_atom_site_fract_z
_atom_site_occupancy
Ta1 Ta 0.003 0.000 0.258 1
Ta2 Ta 0.171 0.500 0.092 1
Os1 Os 0.161 0.500 0.591 1
# ρ = 18.1 g/cm3
# E_form = -0.2018 eV/atom
# size of the total moment = 0.00 μB per formula unit

# 10
# Ta3Os2 | the Alexandria database | PBE-GGA | optimized geometry
data_Ta3Os2
_chemical_formula_sum 'Ta24 Os16'
_cell_length_a 5.396
_cell_length_b 9.126
_cell_length_c 13.712
_cell_angle_alpha 90.00
_cell_angle_beta 90.00
_cell_angle_gamma 90.00
_symmetry_space_group_name_H-M 'F d d d'
_symmetry_Int_Tables_number 70
loop_
_symmetry_equiv_pos_as_xyz
'x,y,z'
'-x,-y,-z'
'-x+1/4,-y+1/4,z'
'x+1/4,y+1/4,-z'
'x,-y+1/4,-z+1/4'
'-x,y+1/4,z+1/4'
'-x+1/4,y,-z+1/4'
'x+1/4,-y,z+1/4'
'x,y+1/2,z+1/2'
'-x,-y+1/2,-z+1/2'
'-x+1/4,-y+3/4,z+1/2'
'x+1/4,y+3/4,-z+1/2'
'x,-y+3/4,-z+3/4'
'-x,y+3/4,z+3/4'
'-x+1/4,y+1/2,-z+3/4'
'x+1/4,-y+1/2,z+3/4'
'x+1/2,y,z+1/2'
'-x+1/2,-y,-z+1/2'
'-x+3/4,-y+1/4,z+1/2'
'x+3/4,y+1/4,-z+1/2'
'x+1/2,-y+1/4,-z+3/4'
'-x+1/2,y+1/4,z+3/4'
'-x+3/4,y,-z+3/4'
'x+3/4,-y,z+3/4'
'x+1/2,y+1/2,z'
'-x+1/2,-y+1/2,-z'
'-x+3/4,-y+3/4,z'
'x+3/4,y+3/4,-z'
'x+1/2,-y+3/4,-z+1/4'
'-x+1/2,y+3/4,z+1/4'
'-x+3/4,y+1/2,-z+1/4'
'x+3/4,-y+1/2,z+1/4'
loop_
_atom_site_label
_atom_site_type_symbol
_atom_site_fract_x
_atom_site_fract_y
_atom_site_fract_z
_atom_site_occupancy
Ta1 Ta 0.125 0.125 0.020 1
Ta2 Ta 0.125 0.125 0.625 1
Os1 Os 0.125 0.125 0.421 1
# distance to the lowest polymorph of the same formula = 0.2044 eV/atom
# ρ = 18.2 g/cm3
# E_form = -0.1253 eV/atom
# size of the total moment = 0.00 μB per formula unit

# 11
# Ta5Os3 | the Alexandria database | PBE-GGA | optimized geometry
data_Ta5Os3
_chemical_formula_sum 'Ta10 Os6'
_cell_length_a 6.430
_cell_length_b 9.078
_cell_length_c 4.533
_cell_angle_alpha 90.00
_cell_angle_beta 90.00
_cell_angle_gamma 90.00
_symmetry_space_group_name_H-M 'C m m m'
_symmetry_Int_Tables_number 65
_symmetry_space_group_name_Hall '-C 2 2'
loop_
_atom_site_label
_atom_site_type_symbol
_atom_site_fract_x
_atom_site_fract_y
_atom_site_fract_z
_atom_site_occupancy
Ta1 Ta 0.000 0.000 0.000 1
Ta2 Ta 0.250 0.000 0.500 1
Ta3 Ta 0.250 0.250 0.000 1
Os1 Os 0.000 0.253 0.500 1
Os2 Os 0.000 0.500 0.000 1
# distance to the lowest polymorph of the same formula = 0.0000 eV/atom
# ρ = 18.5 g/cm3
# E_form = -0.3091 eV/atom
# size of the total moment = 0.00 μB per formula unit

# 12
# Ta4Os | the Alexandria database | PBE-GGA | optimized geometry
data_Ta4Os
_chemical_formula_sum 'Ta8 Os2'
_cell_length_a 7.328
_cell_length_b 7.328
_cell_length_c 3.222
_cell_angle_alpha 90.00
_cell_angle_beta 90.00
_cell_angle_gamma 90.00
_symmetry_space_group_name_H-M 'I 4/m'
_symmetry_Int_Tables_number 87
_symmetry_space_group_name_Hall '-I 4'
loop_
_atom_site_label
_atom_site_type_symbol
_atom_site_fract_x
_atom_site_fract_y
_atom_site_fract_z
_atom_site_occupancy
Ta1 Ta 0.097 0.295 0.000 1
Os1 Os 0.000 0.000 0.500 1
# distance to the lowest polymorph of the same formula = 0.0000 eV/atom
# ρ = 17.5 g/cm3
# E_form = -0.2426 eV/atom
# size of the total moment = 0.00 μB per formula unit